#1
{
  "formula": "AgHg2P2",
  "functional": "PBE",
  "state": "relaxed",
  "space_group": "P4/mbm",
  "crystal_system": "tetragonal",
  "magmom_total_mub_per_atom": 0.00,
  "lattice": [[7.2431, 0.0000, 0.0000], [0.0000, 7.2431, 0.0000], [0.0000, 0.0000, 4.0252]],
  "species": ["Ag", "Ag", "Hg", "Hg", "Hg", "Hg", "P", "P", "P", "P"],
  "fractional_positions": [[0.0000, 0.0000, 0.0000], [0.5000, 0.5000, 0.0000], [0.1398, 0.3602, 0.5000], [0.3602, 0.8602, 0.5000], [0.6398, 0.1398, 0.5000], [0.8602, 0.6398, 0.5000], [0.1909, 0.6909, 0.0000], [0.3091, 0.1909, 0.0000], [0.6909, 0.8091, 0.0000], [0.8091, 0.3091, 0.0000]]
}


#2
{
  "formula": "AgHg2P2",
  "functional": "PBE",
  "state": "relaxed",
  "space_group": "I4/mmm",
  "crystal_system": "tetragonal",
  "magmom_total_mub_per_atom": 0.00,
  "lattice": [[3.3008, 0.0000, 0.0000], [0.0000, 3.3008, 0.0000], [0.0000, 0.0000, 18.6993]],
  "species": ["Ag", "Ag", "Hg", "Hg", "Hg", "Hg", "P", "P", "P", "P"],
  "fractional_positions": [[0.0000, 0.0000, 0.0000], [0.5000, 0.5000, 0.5000], [0.0000, 0.0000, 0.3978], [0.0000, 0.0000, 0.6022], [0.5000, 0.5000, 0.1022], [0.5000, 0.5000, 0.8978], [0.0000, 0.5000, 0.2500], [0.0000, 0.5000, 0.7500], [0.5000, 0.0000, 0.2500], [0.5000, 0.0000, 0.7500]]
}


Most stable structure - #2; separation to the second - 178 meV/atom.


#1
{
  "formula": "AgHgP2S",
  "functional": "PBE",
  "state": "relaxed",
  "space_group": "P4/mmm",
  "crystal_system": "tetragonal",
  "magmom_total_mub_per_atom": 0.32,
  "lattice": [[5.0074, 0.0000, 0.0000], [0.0000, 5.0074, 0.0000], [0.0000, 0.0000, 5.1204]],
  "species": ["Ag", "Hg", "P", "P", "S"],
  "fractional_positions": [[0.0000, 0.0000, 0.0000], [0.5000, 0.5000, 0.5000], [0.0000, 0.5000, 0.5000], [0.5000, 0.0000, 0.5000], [0.5000, 0.5000, 0.0000]]
}


#2
{
  "formula": "AgHgP2S",
  "functional": "PBE",
  "state": "relaxed",
  "space_group": "P4/mmm",
  "crystal_system": "tetragonal",
  "magmom_total_mub_per_atom": 0.25,
  "lattice": [[4.8782, 0.0000, 0.0000], [0.0000, 4.8782, 0.0000], [0.0000, 0.0000, 4.8980]],
  "species": ["Ag", "Hg", "P", "P", "S"],
  "fractional_positions": [[0.0000, 0.0000, 0.0000], [0.5000, 0.5000, 0.5000], [0.0000, 0.5000, 0.0000], [0.5000, 0.0000, 0.0000], [0.0000, 0.0000, 0.5000]]
}


Most stable structure - #2; separation to the second - 229 meV/atom.


#1
{
  "formula": "PaAgHg",
  "functional": "PBE",
  "state": "relaxed",
  "space_group": "P3m1",
  "crystal_system": "trigonal",
  "magmom_total_mub_per_atom": 0.00,
  "lattice": [[3.1485, 0.0000, 0.0000], [-1.5743, 2.7267, 0.0000], [0.0000, 0.0000, 7.8447]],
  "species": ["Pa", "Ag", "Hg"],
  "fractional_positions": [[0.0000, 0.0000, 0.0000], [0.3333, 0.6667, 0.6608], [0.6667, 0.3333, 0.3514]]
}


#2
{
  "formula": "PaAgHg",
  "functional": "PBE",
  "state": "relaxed",
  "space_group": "I4mm",
  "crystal_system": "tetragonal",
  "magmom_total_mub_per_atom": 0.30,
  "lattice": [[3.1689, 0.0000, 0.0000], [0.0000, 3.1689, 0.0000], [0.0000, 0.0000, 13.2559]],
  "species": ["Pa", "Pa", "Ag", "Ag", "Hg", "Hg"],
  "fractional_positions": [[0.0000, 0.0000, 0.0000], [0.5000, 0.5000, 0.5000], [0.0000, 0.0000, 0.3290], [0.5000, 0.5000, 0.8290], [0.0000, 0.0000, 0.6800], [0.5000, 0.5000, 0.1800]]
}


#3
{
  "formula": "PaAgHg",
  "functional": "PBE",
  "state": "relaxed",
  "space_group": "P-6m2",
  "crystal_system": "hexagonal",
  "magmom_total_mub_per_atom": 0.29,
  "lattice": [[5.0002, 0.0000, 0.0000], [-2.5001, 4.3303, 0.0000], [0.0000, 0.0000, 3.1052]],
  "species": ["Pa", "Ag", "Hg"],
  "fractional_positions": [[0.0000, 0.0000, 0.0000], [0.6667, 0.3333, 0.5000], [0.3333, 0.6667, 0.5000]]
}


Most stable structure - #3; separation to the second - 53 meV/atom.